[1]
First-principles (GGA-PBE) data for an optimized crystal structure of LiRu2Pb, as listed in Alexandria via LeMat-Bulk.

POSCAR file:
```
LiRu2Pb
1.0
2.9635 0.0000 0.0000
0.0000 3.6420 0.0000
0.0000 0.0000 6.1161
Li Ru Pb
1 2 1
direct
0.0000 0.0000 0.0000 Li
0.0000 0.0000 0.5745 Ru
0.5000 0.5000 0.7663 Ru
0.5000 0.5000 0.2721 Pb
```

Output
**Final energy**: -5.76 eV per atom

[2]
First-principles (GGA-PBE) data for an optimized crystal structure of Li2RuPb, as listed in Alexandria via LeMat-Bulk.

POSCAR file:
```
Li2RuPb
1.0
5.1107 -1.6429 0.0000
5.1107 1.6429 0.0000
-1.9291 0.0000 4.0070
Li Ru Pb
2 1 1
direct
0.2339 0.2339 0.2338 Li
0.7661 0.7661 0.7662 Li
0.5000 0.5000 0.0000 Ru
0.0000 0.0000 0.5000 Pb
```

Output
**Final energy**: -4.15 eV per atom

[3]
First-principles (GGA-PBE) data for an optimized crystal structure of LiRu2Pb, as listed in Alexandria via LeMat-Bulk.

POSCAR file:
```
LiRu2Pb
1.0
1.5983 -2.4996 0.0000
1.5983 2.4996 0.0000
0.0000 0.0000 8.5400
Li Ru Pb
1 2 1
direct
0.0000 0.0000 0.0000 Li
0.5000 0.5000 0.2429 Ru
0.5000 0.5000 0.7571 Ru
0.0000 0.0000 0.5000 Pb
```

Output
**Final energy**: -5.28 eV per atom

[4]
First-principles (GGA-PBE) data for an optimized crystal structure of Li2RuPb, as listed in Alexandria via LeMat-Bulk.

POSCAR file:
```
Li2RuPb
1.0
3.4426 0.0000 0.0000
0.0000 3.4426 0.0000
0.0000 0.0000 5.5328
Li Ru Pb
2 1 1
direct
0.0000 0.0000 0.2119 Li
0.0000 0.0000 0.7881 Li
0.5000 0.5000 0.0000 Ru
0.5000 0.5000 0.5000 Pb
```

Output
**Final energy**: -4.03 eV per atom

[5]
First-principles (GGA-PBE) data for an optimized crystal structure of LiRu2Pb, as listed in Alexandria via LeMat-Bulk.

POSCAR file:
```
LiRu2Pb
1.0
3.9023 0.0000 0.0000
0.0000 3.9023 0.0000
0.0000 0.0000 4.2438
Li Ru Pb
1 2 1
direct
0.0000 0.0000 0.0000 Li
0.0000 0.5000 0.5000 Ru
0.5000 0.0000 0.5000 Ru
0.5000 0.5000 0.0000 Pb
```

Output
**Final energy**: -5.64 eV per atom

[6]
First-principles (GGA-PBE) data for an optimized crystal structure of LiRu2Pb, as listed in Alexandria via LeMat-Bulk.

POSCAR file:
```
LiRu2Pb
1.0
2.8867 0.0000 0.0000
0.0000 4.4814 0.0000
-0.2484 0.0000 5.0943
Li Ru Pb
1 2 1
direct
0.0000 0.0000 0.0000 Li
0.2493 0.5000 0.7892 Ru
0.7507 0.5000 0.2108 Ru
0.5000 0.0000 0.5000 Pb
```

Output
**Final energy**: -5.64 eV per atom

[7]
First-principles (GGA-PBE) data for an optimized crystal structure of Li4RuPb, as listed in Alexandria via LeMat-Bulk.

POSCAR file:
```
Li4RuPb
1.0
0.0000 3.5287 3.5287
3.5287 0.0000 3.5287
3.5287 3.5287 0.0000
Li Ru Pb
4 1 1
direct
0.3776 0.3776 0.3776 Li
0.3776 0.3776 0.8672 Li
0.3776 0.8672 0.3776 Li
0.8672 0.3776 0.3776 Li
0.7500 0.7500 0.7500 Ru
0.0000 0.0000 0.0000 Pb
```

Output
**Final energy**: -3.31 eV per atom

[8]
First-principles (GGA-PBE) data for an optimized crystal structure of LiRu2Pb, as listed in Alexandria via LeMat-Bulk.

POSCAR file:
```
LiRu2Pb
1.0
3.3016 0.0000 0.0000
0.0000 3.3016 0.0000
0.0000 0.0000 5.8160
Li Ru Pb
1 2 1
direct
0.0000 0.0000 0.0000 Li
0.5000 0.5000 0.2167 Ru
0.5000 0.5000 0.7833 Ru
0.0000 0.0000 0.5000 Pb
```

Output
**Final energy**: -5.57 eV per atom

[9]
First-principles (GGA-PBE) data for an optimized crystal structure of Li2RuPb, as listed in Alexandria via LeMat-Bulk.

POSCAR file:
```
Li2RuPb
1.0
2.7322 -4.2213 0.0000
2.7322 4.2213 0.0000
0.0000 0.0000 2.9718
Li Ru Pb
2 1 1
direct
0.0000 0.5000 0.0000 Li
0.5000 0.0000 0.0000 Li
0.0000 0.0000 0.5000 Ru
0.5000 0.5000 0.5000 Pb
```

Output
**Final energy**: -4.02 eV per atom

[10]
First-principles (GGA-PBE) data for an optimized crystal structure of Li2RuPb, as listed in Alexandria via LeMat-Bulk.

POSCAR file:
```
Li2RuPb
1.0
2.9530 0.0000 0.0000
0.0000 4.2256 0.0000
0.0000 0.0000 5.4986
Li Ru Pb
2 1 1
direct
0.0000 0.0000 0.2163 Li
0.0000 0.0000 0.7837 Li
0.5000 0.5000 0.0000 Ru
0.5000 0.5000 0.5000 Pb
```

Output
**Final energy**: -4.04 eV per atom

[11]
First-principles (GGA-PBE) data for an optimized crystal structure of LiRu2Pb, as listed in Alexandria via LeMat-Bulk.

POSCAR file:
```
LiRu2Pb
1.0
-1.6005 2.2396 4.4732
1.6005 -2.2396 4.4732
1.6005 2.2396 -4.4732
Li Ru Pb
1 2 1
direct
0.0000 0.0000 0.0000 Li
0.5207 0.5207 0.0000 Ru
0.7577 0.2577 0.5000 Ru
0.2579 0.7579 0.5000 Pb
```

Output
**Final energy**: -5.66 eV per atom

[12]
First-principles (GGA-PBE) data for an optimized crystal structure of LiRu2Pb, as listed in Alexandria via LeMat-Bulk.

POSCAR file:
```
LiRu2Pb
1.0
4.3526 -1.4994 0.0000
4.3526 1.4994 0.0000
-0.7345 0.0000 5.0448
Li Ru Pb
1 2 1
direct
0.0000 0.0000 0.0000 Li
0.4934 0.4934 0.4403 Ru
0.7520 0.7520 0.2585 Ru
0.2437 0.2437 0.7552 Pb
```

Output
**Final energy**: -5.70 eV per atom

[13]
First-principles (GGA-PBE) data for an optimized crystal structure of LiRu2Pb, as listed in Alexandria via LeMat-Bulk.

POSCAR file:
```
LiRu2Pb
1.0
-1.9777 1.9777 9.2241
1.9777 -1.9777 9.2241
1.9777 1.9777 -9.2241
Li Ru Pb
2 4 2
direct
0.0000 0.0000 0.0000 Li
0.7500 0.2500 0.5000 Li
0.0410 0.1250 0.4160 Ru
0.3750 0.9590 0.0840 Ru
0.7090 0.6250 0.5840 Ru
0.8750 0.2910 0.9160 Ru
0.2500 0.7500 0.5000 Pb
0.5000 0.5000 0.0000 Pb
```

Output
**Final energy**: -5.53 eV per atom

[14]
First-principles (GGA-PBE) data for an optimized crystal structure of Li2RuPb, as listed in Alexandria via LeMat-Bulk.

POSCAR file:
```
Li2RuPb
1.0
3.4068 0.0000 0.0000
0.0000 3.4068 0.0000
0.0000 0.0000 5.9058
Li Ru Pb
2 1 1
direct
0.0000 0.0000 0.0000 Li
0.5000 0.5000 0.2408 Li
0.0000 0.0000 0.4695 Ru
0.5000 0.5000 0.7099 Pb
```

Output
**Final energy**: -4.10 eV per atom

[15]
First-principles (GGA-PBE) data for an optimized crystal structure of LiRuPb2Se, as listed in Alexandria via LeMat-Bulk.

POSCAR file:
```
LiRuPb2Se
1.0
5.7059 0.0000 0.0000
0.0000 5.7059 0.0000
0.0000 0.0000 4.3094
Li Ru Pb Se
1 1 2 1
direct
0.0000 0.0000 0.0000 Li
0.5000 0.5000 0.0000 Ru
0.0000 0.5000 0.5000 Pb
0.5000 0.0000 0.5000 Pb
0.0000 0.0000 0.5000 Se
```

Output
**Formation energy (no corrections)**: 0.629 eV per atom

[16]
First-principles (GGA-PBE) data for an optimized crystal structure of LiTbRuPb, as listed in Alexandria via LeMat-Bulk.

POSCAR file:
```
LiTbRuPb
1.0
0.0000 3.3971 3.3971
3.3971 0.0000 3.3971
3.3971 3.3971 0.0000
Li Tb Ru Pb
1 1 1 1
direct
0.0000 0.0000 0.0000 Li
0.7500 0.7500 0.7500 Tb
0.5000 0.5000 0.5000 Ru
0.2500 0.2500 0.2500 Pb
```

Output
**Final energy**: -5.09 eV per atom

[17]
First-principles (GGA-PBE) data for an optimized crystal structure of LiTiRu2Pb, as listed in Alexandria via LeMat-Bulk.

POSCAR file:
```
LiTiRu2Pb
1.0
4.5363 0.0000 0.0000
0.0000 4.5363 0.0000
0.0000 0.0000 4.8054
Li Ti Ru Pb
1 1 2 1
direct
0.0000 0.0000 0.0000 Li
0.0000 0.0000 0.5000 Ti
0.0000 0.5000 0.5000 Ru
0.5000 0.0000 0.5000 Ru
0.5000 0.5000 0.0000 Pb
```

Output
**Final energy**: -5.68 eV per atom

[18]
First-principles (GGA-PBE) data for an optimized crystal structure of LiTmRuPb, as listed in Alexandria via LeMat-Bulk.

POSCAR file:
```
LiTmRuPb
1.0
0.0000 3.3667 3.3667
3.3667 0.0000 3.3667
3.3667 3.3667 0.0000
Li Tm Ru Pb
1 1 1 1
direct
0.0000 0.0000 0.0000 Li
0.2500 0.2500 0.2500 Tm
0.5000 0.5000 0.5000 Ru
0.7500 0.7500 0.7500 Pb
```

Output
**Final energy**: -5.07 eV per atom

[19]
First-principles (GGA-PBE) data for an optimized crystal structure of LiVRuPb2, as listed in Alexandria via LeMat-Bulk.

POSCAR file:
```
LiVRuPb2
1.0
5.2072 0.0000 0.0000
0.0000 5.2072 0.0000
0.0000 0.0000 4.5543
Li V Ru Pb
1 1 1 2
direct
0.0000 0.0000 0.0000 Li
0.0000 0.0000 0.5000 V
0.5000 0.5000 0.0000 Ru
0.0000 0.5000 0.5000 Pb
0.5000 0.0000 0.5000 Pb
```

Output
**Final energy**: -4.31 eV per atom

[20]
First-principles (GGA-PBE) data for an optimized crystal structure of LiZrRuPb, as listed in Alexandria via LeMat-Bulk.

POSCAR file:
```
LiZrRuPb
1.0
0.0000 3.2929 3.2929
3.2929 0.0000 3.2929
3.2929 3.2929 0.0000
Li Zr Ru Pb
1 1 1 1
direct
0.0000 0.0000 0.0000 Li
0.2500 0.2500 0.2500 Zr
0.5000 0.5000 0.5000 Ru
0.7500 0.7500 0.7500 Pb
```

Output
**Final energy**: -6.10 eV per atom

no.,DOS at the Fermi energy (states/eV per atom)
1,0.818
2,0.468
3,0.946
4,0.618
5,1.137
6,0.863
7,0.689
8,1.289
9,0.593
10,0.501
11,1.117
12,1.102
13,0.920
14,0.545
15,0.806
16,1.092
17,0.884
18,1.075
19,1.317
20,1.227